Record 1
# BaSnP GGA-PBE relaxed
data_BaSnP
_space_group_name_H-M_alt 'P 42/m'
_space_group_IT_number 84
_cell_length_a 9.8831
_cell_length_b 9.8831
_cell_length_c 4.1826
_cell_angle_alpha 90.00
_cell_angle_beta 90.00
_cell_angle_gamma 90.00
loop_
_space_group_symop_operation_xyz
'x,y,z'
'-x,-y,-z'
'-y,x,z+1/2'
'y,-x,-z+1/2'
'-x,-y,z'
'x,y,-z'
'y,-x,z+1/2'
'-y,x,-z+1/2'
loop_
_atom_site_label
_atom_site_fract_x
_atom_site_fract_y
_atom_site_fract_z
Ba1 0.0488 0.7203 0.0000
Sn1 0.2095 0.4343 0.5000
P1 0.3019 0.6808 0.5000
# formation energy from the elements: -0.368 eV/atom
# M_tot: 0.000 μB/atom
# final energy: -49.8 eV for the cell shown
# Fermi-level density of states: 0.641 states/eV/atom
# density: 4.67 g/cm³

---

Record 2
# ZrOsSeBr2 GGA-PBE relaxed
data_ZrOsSeBr2
_space_group_name_H-M_alt 'P 4/m m m'
_space_group_IT_number 123
_space_group_name_Hall '-P 4 2'
_cell_length_a 4.9502
_cell_length_b 4.9502
_cell_length_c 4.8985
_cell_angle_alpha 90.00
_cell_angle_beta 90.00
_cell_angle_gamma 90.00
loop_
_atom_site_label
_atom_site_fract_x
_atom_site_fract_y
_atom_site_fract_z
Zr1 0.0000 0.0000 0.0000
Os1 0.5000 0.5000 0.5000
Se1 0.5000 0.5000 0.0000
Br1 0.0000 0.5000 0.5000
# energy above the lowest structure with this stoichiometry: 65 meV per atom
# M_tot: 0.000 μB/atom
# ΔE_f (raw): 737.4 meV per atom
# final energy: -22.9 eV for the cell shown
# Fermi-level density of states: 1.407 states/eV/atom
# density: 7.20 g/cm³

---

Record 3
# Pm3Al3Cu2 GGA-PBE relaxed
data_Pm3Al3Cu2
_space_group_name_H-M_alt 'P n m a'
_space_group_IT_number 62
_cell_length_a 8.2848
_cell_length_b 15.1709
_cell_length_c 5.6257
_cell_angle_alpha 90.00
_cell_angle_beta 90.00
_cell_angle_gamma 90.00
loop_
_space_group_symop_operation_xyz
'x,y,z'
'-x,-y,-z'
'-x+1/2,-y,z+1/2'
'x+1/2,y,-z+1/2'
'x+1/2,-y+1/2,-z+1/2'
'-x+1/2,y+1/2,z+1/2'
'-x,y+1/2,-z'
'x,-y+1/2,z'
loop_
_atom_site_label
_atom_site_fract_x
_atom_site_fract_y
_atom_site_fract_z
Pm1 0.0435 0.1116 0.1156
Pm2 0.1917 0.2500 0.6000
Al1 0.1588 0.7500 0.5876
Al2 0.1869 0.0345 0.6142
Cu1 0.0985 0.6028 0.3777
# energy above the lowest structure with this stoichiometry: 24 meV per atom
# formation energy from the elements: -0.345 eV/atom
# M_tot: 0.000 μB/atom
# final energy: -145.7 eV for the cell shown
# Fermi-level density of states: 0.955 states/eV/atom
# density: 6.04 g/cm³

---

Record 4
# SrBAs2Os GGA-PBE relaxed
data_SrBAs2Os
_space_group_name_H-M_alt 'P 4/m m m'
_space_group_IT_number 123
_space_group_name_Hall '-P 4 2'
_cell_length_a 5.5920
_cell_length_b 5.5920
_cell_length_c 5.4562
_cell_angle_alpha 90.00
_cell_angle_beta 90.00
_cell_angle_gamma 90.00
loop_
_atom_site_label
_atom_site_fract_x
_atom_site_fract_y
_atom_site_fract_z
Sr1 0.0000 0.0000 0.0000
B1 0.5000 0.5000 0.5000
As1 0.0000 0.5000 0.0000
Os1 0.0000 0.0000 0.5000
# formation energy from the elements: 2.847 eV/atom
# M_tot: 0.568 μB/atom
# final energy: -14.7 eV for the cell shown
# Fermi-level density of states: 1.363 states/eV/atom
# density: 4.27 g/cm³

---

Record 5
# Cs2PbSeF6 GGA-PBE relaxed
data_Cs2PbSeF6
_space_group_name_H-M_alt 'I 4/m m m'
_space_group_IT_number 139
_space_group_name_Hall '-I 4 2'
_cell_length_a 6.3319
_cell_length_b 6.3319
_cell_length_c 11.9468
_cell_angle_alpha 90.00
_cell_angle_beta 90.00
_cell_angle_gamma 90.00
loop_
_atom_site_label
_atom_site_fract_x
_atom_site_fract_y
_atom_site_fract_z
Cs1 0.0000 0.5000 0.2500
Pb1 0.0000 0.0000 0.0000
Se1 0.0000 0.0000 0.5000
F1 0.0000 0.0000 0.1989
F2 0.2263 0.2263 0.5000
# M_tot: 0.000 μB/atom
# ΔE_f (raw): -2177.3 meV per atom
# final energy: -83.8 eV for the cell shown
# Fermi-level density of states: 0.000 states/eV/atom
# density: 4.62 g/cm³

---

Record 6
# Er5Mg2Hg12 GGA-PBE relaxed
data_Er5Mg2Hg12
_space_group_name_H-M_alt 'C 1 2/m 1'
_space_group_IT_number 12
_cell_length_a 14.5057
_cell_length_b 8.9739
_cell_length_c 7.1122
_cell_angle_alpha 90.00
_cell_angle_beta 91.40
_cell_angle_gamma 90.00
loop_
_space_group_symop_operation_xyz
'x,y,z'
'-x,-y,-z'
'-x,y,-z'
'x,-y,z'
'x+1/2,y+1/2,z'
'-x+1/2,-y+1/2,-z'
'-x+1/2,y+1/2,-z'
'x+1/2,-y+1/2,z'
loop_
_atom_site_label
_atom_site_fract_x
_atom_site_fract_y
_atom_site_fract_z
Er1 0.0000 0.0000 0.0000
Er2 0.1863 0.5000 0.5493
Er3 0.2465 0.5000 0.0621
Mg1 0.0000 0.2613 0.5000
Hg1 0.0363 0.5000 0.2258
Hg2 0.1068 0.0000 0.5901
Hg3 0.1193 0.2708 0.8497
Hg4 0.1660 0.2073 0.2655
# formation energy from the elements: -0.280 eV/atom
# M_tot: 0.000 μB/atom
# final energy: -69.9 eV for the cell shown
# Fermi-level density of states: 0.491 states/eV/atom
# density: 11.81 g/cm³